No. 1
Entry from Alexandria via LeMat-Bulk: an optimized crystal structure of Li2Al2Cl (PBE-GGA).

Summary:
V = 100.54 Å³/f.u.
Formation energy (no corrections) = -0.273 eV per atom
Space group = P4/mbm
E_tot = -14.52 eV per formula unit

```
Li2Al2Cl
1.0
5.9840 0.0000 0.0000
0.0000 5.9840 0.0000
0.0000 0.0000 5.6153
Li Al Cl
4 4 2
Direct
0.1566 0.3434 0.0000
0.3434 0.8434 0.0000
0.6566 0.1566 0.0000
0.8434 0.6566 0.0000
0.1527 0.6527 0.5000
0.3473 0.1527 0.5000
0.6527 0.8473 0.5000
0.8473 0.3473 0.5000
0.0000 0.0000 0.0000
0.5000 0.5000 0.0000
```


No. 2
Entry from Alexandria via LeMat-Bulk: an optimized crystal structure of Cr2SnP2 (PBE-GGA).

Summary:
V = 71.19 Å³/f.u.
Energy of formation from the pure elements = -0.4 eV/f.u.
Space group = I4/mmm
E_tot = -34.51 eV per formula unit

```
Cr2SnP2
1.0
-1.7025 1.7025 6.1398
1.7025 -1.7025 6.1398
1.7025 1.7025 -6.1398
Cr Sn P
2 1 2
Direct
0.1213 0.1213 0.0000
0.8787 0.8787 0.0000
0.5000 0.5000 0.0000
0.2500 0.7500 0.5000
0.7500 0.2500 0.5000
```


No. 3
Entry from Alexandria via LeMat-Bulk: an optimized crystal structure of Pr2Hg2Pd (PBE-GGA).

Summary:
V = 140.03 Å³/f.u.
Energy of formation from the pure elements = -2.2 eV/f.u.
Space group = I4_1/amd
E_tot = -17.58 eV per formula unit

```
Pr2Hg2Pd
1.0
-2.3730 2.3730 12.4330
2.3730 -2.3730 12.4330
2.3730 2.3730 -12.4330
Pr Hg Pd
4 4 2
Direct
0.0603 0.3103 0.7500
0.3103 0.0603 0.2500
0.6897 0.9397 0.7500
0.9397 0.6897 0.2500
0.2017 0.4517 0.7500
0.4517 0.2017 0.2500
0.5483 0.7983 0.7500
0.7983 0.5483 0.2500
0.3750 0.6250 0.7500
0.6250 0.3750 0.2500
```


No. 4
Entry from Alexandria via LeMat-Bulk: an optimized crystal structure of NiOsRu2 (PBE-GGA).

Summary:
V = 53.56 Å³/f.u.
Energy of formation from the pure elements = 0.7 eV/f.u.
Space group = P4mm
E_tot = -34.87 eV per formula unit

```
NiOsRu2
1.0
2.6821 0.0000 0.0000
0.0000 2.6821 0.0000
0.0000 0.0000 7.4451
Ni Os Ru
1 1 2
Direct
0.0000 0.0000 0.0000
0.5000 0.5000 0.2404
0.0000 0.0000 0.4987
0.5000 0.5000 0.7567
```


No. 5
Entry from Alexandria via LeMat-Bulk: an optimized crystal structure of Y3Tm4Sc (PBE-GGA).

Summary:
V = 239.84 Å³/f.u.
Energy of formation from the pure elements = 0.7 eV/f.u.
Space group = I4/mcm
E_tot = -42.91 eV per formula unit

```
Y3Tm4Sc
1.0
-4.4061 4.4061 6.1768
4.4061 -4.4061 6.1768
4.4061 4.4061 -6.1768
Y Tm Sc
6 8 2
Direct
0.1480 0.6480 0.7960
0.2500 0.2500 0.0000
0.3520 0.1480 0.5000
0.6480 0.8520 0.5000
0.7500 0.7500 0.0000
0.8520 0.3520 0.2040
0.0144 0.8140 0.5000
0.1860 0.6860 0.2003
0.3140 0.5144 0.5000
0.4856 0.9856 0.7997
0.5144 0.0144 0.2003
0.6860 0.4856 0.5000
0.8140 0.3140 0.7997
0.9856 0.1860 0.5000
0.0000 0.0000 0.0000
0.5000 0.5000 0.0000
```


No. 6
Entry from Alexandria via LeMat-Bulk: an optimized crystal structure of Hf2IrPd (PBE-GGA).

Summary:
V = 71.74 Å³/f.u.
Energy of formation from the pure elements = -3.2 eV/f.u.
Space group = P4/mmm
E_tot = -37.15 eV per formula unit

```
Hf2IrPd
1.0
4.6611 0.0000 0.0000
0.0000 4.6611 0.0000
0.0000 0.0000 3.3022
Hf Ir Pd
2 1 1
Direct
0.0000 0.5000 0.0000
0.5000 0.0000 0.0000
0.0000 0.0000 0.5000
0.5000 0.5000 0.5000
```


No. 7
Entry from Alexandria via LeMat-Bulk: an optimized crystal structure of HfOsRh3 (PBE-GGA).

Summary:
V = 102.09 Å³/f.u.
Energy of formation from the pure elements = 5.1 eV/f.u.
Space group = Pm-3m
E_tot = -38.15 eV per formula unit

```
HfOsRh3
1.0
4.6737 0.0000 0.0000
0.0000 4.6737 0.0000
0.0000 0.0000 4.6737
Hf Os Rh
1 1 3
Direct
0.0000 0.0000 0.0000
0.5000 0.5000 0.5000
0.0000 0.5000 0.5000
0.5000 0.0000 0.5000
0.5000 0.5000 0.0000
```


No. 8
Entry from Alexandria via LeMat-Bulk: an optimized crystal structure of Pr6Sn2Ir (PBE-GGA).

Summary:
V = 294.67 Å³/f.u.
Energy of formation from the pure elements = -4.4 eV/f.u.
Space group = P2_1/c
E_tot = -49.99 eV per formula unit

```
Pr6Sn2Ir
1.0
6.4489 0.0000 0.0000
0.0000 8.6837 0.0000
-6.3586 0.0000 10.5239
Pr Sn Ir
12 4 2
Direct
0.0756 0.1706 0.4483
0.0756 0.3294 0.9483
0.3169 0.6842 0.4495
0.3169 0.8158 0.9495
0.3499 0.0289 0.2430
0.3499 0.4711 0.7430
0.6501 0.5289 0.2570
0.6501 0.9711 0.7570
0.6831 0.1842 0.0505
0.6831 0.3158 0.5505
0.9244 0.6706 0.0517
0.9244 0.8294 0.5517
0.1740 0.1150 0.7557
0.1740 0.3850 0.2557
0.8260 0.6150 0.7443
0.8260 0.8850 0.2443
0.5000 0.0000 0.5000
0.5000 0.5000 0.0000
```


No. 9
Entry from Alexandria via LeMat-Bulk: an optimized crystal structure of V3BiP (PBE-GGA).

Summary:
V = 86.70 Å³/f.u.
Energy of formation from the pure elements = 1.0 eV/f.u.
Space group = Pm-3m
E_tot = -35.60 eV per formula unit

```
V3BiP
1.0
4.4260 0.0000 0.0000
0.0000 4.4260 0.0000
0.0000 0.0000 4.4260
V Bi P
3 1 1
Direct
0.0000 0.0000 0.5000
0.0000 0.5000 0.0000
0.5000 0.0000 0.0000
0.5000 0.5000 0.5000
0.0000 0.0000 0.0000
```


No. 10
Entry from Alexandria via LeMat-Bulk: an optimized crystal structure of BeRu3Pb (PBE-GGA).

Summary:
V = 121.84 Å³/f.u.
Energy of formation from the pure elements = 12.4 eV/f.u.
Space group = Pm-3m
E_tot = -22.89 eV per formula unit

```
BeRu3Pb
1.0
4.9575 0.0000 0.0000
0.0000 4.9575 0.0000
0.0000 0.0000 4.9575
Be Ru Pb
1 3 1
Direct
0.0000 0.0000 0.0000
0.0000 0.5000 0.5000
0.5000 0.0000 0.5000
0.5000 0.5000 0.0000
0.5000 0.5000 0.5000
```